Entry 1:
# CaMgHg2

Crystalline CaMgHg2 at its relaxed geometry (PBEsol, Alexandria).

The structure in CIF format:
```
data_CaMgHg2
_cell_length_a 5.007
_cell_length_b 5.007
_cell_length_c 3.700
_cell_angle_alpha 90.00
_cell_angle_beta 90.00
_cell_angle_gamma 90.00
_symmetry_space_group_name_H-M 'P 4/m m m'
_symmetry_Int_Tables_number 123
_symmetry_space_group_name_Hall '-P 4 2'
loop_
_atom_site_label
_atom_site_fract_x
_atom_site_fract_y
_atom_site_fract_z
Ca1 0.000 0.000 0.000
Mg1 0.500 0.500 0.000
Hg1 0.000 0.500 0.500
```

=====

Entry 2:
# PBEsol CaMg2Hg2, relaxed
# excess energy over the best structure of this formula in the dataset = 0 meV per atom
data_CaMg2Hg2
_cell_length_a 4.326
_cell_length_b 4.326
_cell_length_c 12.976
_cell_angle_alpha 90.00
_cell_angle_beta 90.00
_cell_angle_gamma 90.00
_symmetry_space_group_name_H-M 'I 4/m m m'
_symmetry_Int_Tables_number 139
_symmetry_space_group_name_Hall '-I 4 2'
loop_
_atom_site_label
_atom_site_fract_x
_atom_site_fract_y
_atom_site_fract_z
Ca1 0.000 0.000 0.000
Mg1 0.000 0.500 0.250
Hg1 0.000 0.000 0.392

=====

Entry 3:
# CaMgHg2

Crystalline CaMgHg2 at its relaxed geometry (PBEsol, Alexandria).

The structure in CIF format:
```
data_CaMgHg2
_cell_length_a 3.624
_cell_length_b 4.725
_cell_length_c 5.922
_cell_angle_alpha 90.00
_cell_angle_beta 107.80
_cell_angle_gamma 90.00
_symmetry_space_group_name_H-M 'P 1 m 1'
_symmetry_Int_Tables_number 6
_symmetry_space_group_name_Hall 'P -2y'
loop_
_atom_site_label
_atom_site_fract_x
_atom_site_fract_y
_atom_site_fract_z
Ca1 0.000 0.000 0.000
Mg1 0.301 0.500 0.602
Hg1 0.575 0.500 0.149
Hg2 0.732 0.000 0.469
```

=====

Entry 4:
# CaMgHg2

Crystalline CaMgHg2 at its relaxed geometry (PBEsol, Alexandria).

The structure in CIF format:
```
data_CaMgHg2
_cell_length_a 3.549
_cell_length_b 3.549
_cell_length_c 7.261
_cell_angle_alpha 90.00
_cell_angle_beta 90.00
_cell_angle_gamma 90.00
_symmetry_space_group_name_H-M 'P 4/m m m'
_symmetry_Int_Tables_number 123
_symmetry_space_group_name_Hall '-P 4 2'
loop_
_atom_site_label
_atom_site_fract_x
_atom_site_fract_y
_atom_site_fract_z
Ca1 0.000 0.000 0.000
Mg1 0.000 0.000 0.500
Hg1 0.500 0.500 0.274
```

=====

Entry 5:
# CaMn2Hg

Crystalline CaMn2Hg at its relaxed geometry (PBEsol, Alexandria).

The structure in CIF format:
```
data_CaMn2Hg
_cell_length_a 6.810
_cell_length_b 6.810
_cell_length_c 6.810
_cell_angle_alpha 90.00
_cell_angle_beta 90.00
_cell_angle_gamma 90.00
_symmetry_space_group_name_H-M 'F -4 3 m'
_symmetry_Int_Tables_number 216
_symmetry_space_group_name_Hall 'F -4 2 3'
loop_
_atom_site_label
_atom_site_fract_x
_atom_site_fract_y
_atom_site_fract_z
Ca1 0.000 0.000 0.000
Mn1 0.000 0.000 0.500
Mn2 0.250 0.250 0.250
Hg1 0.250 0.250 0.750
```

=====

Entry 6:
# Ca2MnHg

Crystalline Ca2MnHg at its relaxed geometry (PBEsol, Alexandria).

The structure in CIF format:
```
data_Ca2MnHg
_cell_length_a 3.733
_cell_length_b 3.733
_cell_length_c 7.089
_cell_angle_alpha 90.00
_cell_angle_beta 90.00
_cell_angle_gamma 90.00
_symmetry_space_group_name_H-M 'P 4/m m m'
_symmetry_Int_Tables_number 123
_symmetry_space_group_name_Hall '-P 4 2'
loop_
_atom_site_label
_atom_site_fract_x
_atom_site_fract_y
_atom_site_fract_z
Ca1 0.000 0.000 0.247
Mn1 0.500 0.500 0.000
Hg1 0.500 0.500 0.500
```

=====

Entry 7:
# Ca2MnHg

Crystalline Ca2MnHg at its relaxed geometry (PBEsol, Alexandria).

The structure in CIF format:
```
data_Ca2MnHg
_cell_length_a 5.081
_cell_length_b 5.081
_cell_length_c 3.836
_cell_angle_alpha 90.00
_cell_angle_beta 90.00
_cell_angle_gamma 90.00
_symmetry_space_group_name_H-M 'P 4/m m m'
_symmetry_Int_Tables_number 123
_symmetry_space_group_name_Hall '-P 4 2'
loop_
_atom_site_label
_atom_site_fract_x
_atom_site_fract_y
_atom_site_fract_z
Ca1 0.000 0.500 0.000
Mn1 0.000 0.000 0.500
Hg1 0.500 0.500 0.500
```

=====

Entry 8:
# Ca2MnHg

Crystalline Ca2MnHg at its relaxed geometry (PBEsol, Alexandria).

The structure in CIF format:
```
data_Ca2MnHg
_cell_length_a 4.6008
_cell_length_b 4.6008
_cell_length_c 18.6090
_cell_angle_alpha 90.00
_cell_angle_beta 90.00
_cell_angle_gamma 120.00
_symmetry_space_group_name_H-M 'R 3 m'
_symmetry_Int_Tables_number 160
_symmetry_space_group_name_Hall 'R 3 -2"'
loop_
_atom_site_label
_atom_site_fract_x
_atom_site_fract_y
_atom_site_fract_z
Ca1 0.0000 0.0000 0.0000
Ca2 0.0000 0.0000 0.1896
Mn1 0.0000 0.0000 0.4229
Hg1 0.0000 0.0000 0.7646
```

=====

Entry 9:
# CaMnHg2

Crystalline CaMnHg2 at its relaxed geometry (PBEsol, Alexandria).

The structure in CIF format:
```
data_CaMnHg2
_cell_length_a 3.437
_cell_length_b 3.437
_cell_length_c 7.132
_cell_angle_alpha 90.00
_cell_angle_beta 90.00
_cell_angle_gamma 90.00
_symmetry_space_group_name_H-M 'P 4/m m m'
_symmetry_Int_Tables_number 123
_symmetry_space_group_name_Hall '-P 4 2'
loop_
_atom_site_label
_atom_site_fract_x
_atom_site_fract_y
_atom_site_fract_z
Ca1 0.000 0.000 0.000
Mn1 0.000 0.000 0.500
Hg1 0.500 0.500 0.287
```

=====

Entry 10:
# CaMnHg2

Crystalline CaMnHg2 at its relaxed geometry (PBEsol, Alexandria).

The structure in CIF format:
```
data_CaMnHg2
_cell_length_a 4.699
_cell_length_b 4.699
_cell_length_c 3.881
_cell_angle_alpha 90.00
_cell_angle_beta 90.00
_cell_angle_gamma 90.00
_symmetry_space_group_name_H-M 'P 4/m m m'
_symmetry_Int_Tables_number 123
_symmetry_space_group_name_Hall '-P 4 2'
loop_
_atom_site_label
_atom_site_fract_x
_atom_site_fract_y
_atom_site_fract_z
Ca1 0.000 0.000 0.000
Mn1 0.500 0.500 0.000
Hg1 0.000 0.500 0.500
```

=====

Entry 11:
# Ca2HgMo

Crystalline Ca2HgMo at its relaxed geometry (PBEsol, Alexandria).

The structure in CIF format:
```
data_Ca2HgMo
_cell_length_a 3.247
_cell_length_b 5.274
_cell_length_c 11.159
_cell_angle_alpha 90.00
_cell_angle_beta 90.00
_cell_angle_gamma 90.00
_symmetry_space_group_name_H-M 'I m m 2'
_symmetry_Int_Tables_number 44
_symmetry_space_group_name_Hall 'I 2 -2'
loop_
_atom_site_label
_atom_site_fract_x
_atom_site_fract_y
_atom_site_fract_z
Ca1 0.000 0.000 0.000
Ca2 0.000 0.500 0.205
Hg1 0.000 0.500 0.751
Mo1 0.000 0.000 0.452
```

=====

Entry 12:
# Ca2HgMo

Crystalline Ca2HgMo at its relaxed geometry (PBEsol, Alexandria).

The structure in CIF format:
```
data_Ca2HgMo
_cell_length_a 4.516
_cell_length_b 4.516
_cell_length_c 9.055
_cell_angle_alpha 90.00
_cell_angle_beta 90.00
_cell_angle_gamma 90.00
_symmetry_space_group_name_H-M 'I -4 m 2'
_symmetry_Int_Tables_number 119
_symmetry_space_group_name_Hall 'I -4 -2'
loop_
_atom_site_label
_atom_site_fract_x
_atom_site_fract_y
_atom_site_fract_z
Ca1 0.000 0.000 0.000
Ca2 0.000 0.500 0.250
Hg1 0.000 0.000 0.500
Mo1 0.000 0.500 0.750
```

=====

E_tot values (in eV/f.u.) by entry order: -6.741 -8.630 -6.643 -6.892 -20.332 -14.358 -14.359 -14.259 -13.485 -13.071 -14.962 -14.568.
Total magnetic moment values (in μB per cell) by entry order: 0.000 0.000 0.000 0.000 31.535 3.896 4.044 9.746 3.889 4.028 0.010 4.340.